VASP calculation (PBE-GGA) on a relaxed structure of TiCo3Si.

Summary:
Symmetry: Pm-3m
Magnetization: 1.3 Bohr magnetons per cell
ΔE_f (raw): 1.152 eV per atom
Energy above the lowest structure with this stoichiometry: 81.9 kJ/mol of atoms

a = 4.228 Å, b = 4.228 Å, c = 4.228 Å
α = 90.00°, β = 90.00°, γ = 90.00°
Atoms (fractional coordinates):
Ti 0.000 0.000 0.000
Co 0.000 0.000 0.500
Co 0.000 0.500 0.000
Co 0.500 0.000 0.000
Si 0.500 0.500 0.500